(1)
An optimized crystal structure of LiZnNi4, computed with GGA-PBEsol.

Summary:
VASP energy, eV/cell: -28.41
Symmetry: F-43m, No. 216

Cell lengths 4.6222, 4.6222, 4.6222 Å; angles 60.00, 60.00, 60.00 degrees
Fractional coordinates of all 6 atoms:
Li 0.0000 0.0000 0.0000
Ni 0.3751 0.3751 0.3751
Ni 0.3751 0.3751 0.8748
Ni 0.8748 0.3751 0.3751
Ni 0.3751 0.8748 0.3751
Zn 0.7500 0.7500 0.7500

***

(2)
An optimized crystal structure of Na2TiNiO4, computed with GGA-PBEsol.

Summary:
Symmetry: P2/m, No. 10
E_form (uncorrected), eV/atom: -1.95

Cell lengths 2.9996, 5.1440, 5.6137 Å; angles 108.40, 90.00, 90.00 degrees
Site moments in Bohr magnetons follow the coordinates.
Fractional coordinates of all 8 atoms:
Ni 0.0000 0.5000 0.5000  1.47
Na 0.0000 0.0000 0.0000  0.01
Na 0.5000 0.5000 0.0000  0.00
O 0.5000 0.2530 0.3020  0.12
O 0.5000 0.7470 0.6980  0.12
O 0.0000 0.7815 0.2949  0.07
O 0.0000 0.2185 0.7051  0.07
Ti 0.5000 0.0000 0.5000  0.02

***

(3)
An optimized crystal structure of Zr2HgAu, computed with GGA-PBEsol.

Summary:
VASP energy, eV/cell: -24.27
Symmetry: Cmmm, No. 65

Cell lengths 3.0751, 5.1824, 5.1824 Å; angles 108.52, 90.00, 90.00 degrees
Fractional coordinates of all 4 atoms:
Au 0.5000 0.0000 0.0000
Hg 0.5000 0.5000 0.5000
Zr 0.0000 0.5000 0.0000
Zr 0.0000 0.0000 0.5000

***

(4)
An optimized crystal structure of LiP2RhO, computed with GGA-PBEsol.

Summary:
Distance to the lowest polymorph of the same formula, eV per atom: 0.3031
Symmetry: P4/mmm, No. 123
E_form (uncorrected), eV/atom: 0.41

Cell lengths 3.0762, 4.4673, 4.4673 Å; angles 90.00, 90.00, 90.00 degrees
Fractional coordinates of all 5 atoms:
P 0.0000 0.0000 0.5000
P 0.0000 0.5000 0.0000
Rh 0.5000 0.5000 0.5000
O 0.5000 0.0000 0.0000
Li 0.0000 0.0000 0.0000

***

(5)
An optimized crystal structure of TlH2N, computed with GGA-PBEsol.

Summary:
VASP energy, eV/cell: -11.65
Symmetry: Fm-3m, No. 225

Cell lengths 3.7252, 3.7252, 3.7252 Å; angles 60.00, 60.00, 60.00 degrees
Fractional coordinates of all 4 atoms:
H 0.2500 0.2500 0.2500
H 0.7500 0.7500 0.7500
Tl 0.5000 0.5000 0.5000
N 0.0000 0.0000 0.0000

***

(6)
An optimized crystal structure of Fe2PtRh, computed with GGA-PBEsol.

Summary:
VASP energy, eV/cell: -33.27
Symmetry: P4/mmm, No. 123

Cell lengths 2.6610, 2.6610, 7.2864 Å; angles 90.00, 90.00, 90.00 degrees
Site moments in Bohr magnetons follow the coordinates.
Fractional coordinates of all 4 atoms:
Rh 0.0000 0.0000 0.5000  0.27
Fe 0.5000 0.5000 0.7438  2.66
Fe 0.5000 0.5000 0.2562  2.66
Pt 0.0000 0.0000 0.0000  0.25

***

(7)
An optimized crystal structure of NbMoAs3, computed with GGA-PBEsol.

Summary:
VASP energy, eV/cell: -32.75
Symmetry: Pm-3m, No. 221

Cell lengths 4.9075, 4.9075, 4.9075 Å; angles 90.00, 90.00, 90.00 degrees
Site moments in Bohr magnetons follow the coordinates.
Fractional coordinates of all 5 atoms:
As 0.0000 0.5000 0.0000  -0.10
As 0.0000 0.0000 0.5000  -0.10
As 0.5000 0.0000 0.0000  -0.10
Mo 0.5000 0.5000 0.5000  3.56
Nb 0.0000 0.0000 0.0000  0.20

***

(8)
An optimized crystal structure of GaPN2, computed with GGA-PBEsol.

Summary:
Distance to the lowest polymorph of the same formula, eV per atom: 0.9345
Symmetry: Fm-3m, No. 225
E_form (uncorrected), eV/atom: 1.25

Cell lengths 3.7929, 3.7929, 3.7929 Å; angles 60.00, 60.00, 60.00 degrees
Fractional coordinates of all 4 atoms:
P 0.0000 0.0000 0.0000
Ga 0.5000 0.5000 0.5000
N 0.2500 0.2500 0.2500
N 0.7500 0.7500 0.7500

***

(9)
An optimized crystal structure of FeRhPb, computed with GGA-PBEsol.

Summary:
VASP energy, eV/cell: -19.92
Symmetry: P3m1, No. 156

Cell lengths 3.0126, 4.3232, 4.3232 Å; angles 120.00, 90.00, 90.00 degrees
Site moments in Bohr magnetons follow the coordinates.
Fractional coordinates of all 3 atoms:
Fe 0.0198 0.0000 0.0000  2.70
Pb 0.6761 0.3333 0.6667  -0.05
Rh 0.3040 0.6667 0.3333  0.28

***

(10)
An optimized crystal structure of HPd2Pb, computed with GGA-PBEsol.

Summary:
Distance to the lowest polymorph of the same formula, eV per atom: 0.5441
Symmetry: Fm-3m, No. 225

Cell lengths 4.4202, 4.4202, 4.4202 Å; angles 60.00, 60.00, 60.00 degrees
Fractional coordinates of all 4 atoms:
Pb 0.5000 0.5000 0.5000
H 0.0000 0.0000 0.0000
Pd 0.2500 0.2500 0.2500
Pd 0.7500 0.7500 0.7500

***

(11)
An optimized crystal structure of In2Au3, computed with GGA-PBEsol.

Summary:
Distance to the lowest polymorph of the same formula, eV per atom: 0.1017
Symmetry: R-3m, No. 166

Cell lengths 3.8477, 3.8477, 8.6392 Å; angles 77.13, 77.13, 60.00 degrees
Fractional coordinates of all 5 atoms:
Au 0.0000 0.0000 0.0000
Au 0.1985 0.1985 0.4044
Au 0.8015 0.8015 0.5956
In 0.5978 0.5978 0.2066
In 0.4022 0.4022 0.7934

***

(12)
An optimized crystal structure of MgRe2O8, computed with GGA-PBEsol.

Summary:
Distance to the lowest polymorph of the same formula, eV per atom: 0.0296
Symmetry: P31m, No. 157
E_form (uncorrected), eV/atom: -1.78

Cell lengths 4.9249, 10.2875, 10.2875 Å; angles 120.00, 90.00, 90.00 degrees
Fractional coordinates of all 33 atoms:
Mg 0.6378 0.6667 0.3333
Mg 0.1390 0.0000 0.0000
Mg 0.6378 0.3333 0.6667
Re 0.5107 0.0000 0.6744
Re 0.9939 0.0000 0.3400
Re 0.5107 0.6744 0.0000
Re 0.9939 0.3400 0.0000
Re 0.9939 0.6600 0.6600
Re 0.5107 0.3256 0.3256
O 0.3777 0.0000 0.8322
O 0.8594 0.0000 0.6807
O 0.4125 0.8377 0.5087
O 0.3426 0.0000 0.3498
O 0.8692 0.8384 0.3356
O 0.9113 0.0000 0.1742
O 0.8692 0.6644 0.5028
O 0.4125 0.6710 0.1623
O 0.3777 0.8322 0.0000
O 0.8594 0.6807 0.0000
O 0.4125 0.4913 0.3290
O 0.8692 0.4972 0.1616
O 0.9113 0.8258 0.8258
O 0.4125 0.5087 0.8377
O 0.3426 0.3498 0.0000
O 0.8692 0.3356 0.8384
O 0.9113 0.1742 0.0000
O 0.3426 0.6502 0.6502
O 0.8692 0.5028 0.6644
O 0.4125 0.1623 0.6710
O 0.4125 0.3290 0.4913
O 0.8692 0.1616 0.4972
O 0.8594 0.3193 0.3193
O 0.3777 0.1678 0.1678